This record from Alexandria via LeMat-Bulk describes an optimized crystal structure of PrErCuPt. The functional is PBE-GGA.

Cell lengths 4.418, 3.850, 10.879 Å; angles 90.00, 90.00, 90.00 degrees
Space group Amm2 (No. 38)
Unique sites:
1 Pr 0.000 0.000 0.000
2 Er 0.500 0.000 0.723
3 Cu 0.500 0.000 0.432
4 Pt 0.000 0.000 0.278

Calculated formation energy (eV/atom): -0.729
Relative energy among the computed polymorphs (kJ/mol of atoms): 0.00
Crystal system: orthorhombic